Density functional theory data (meta-GGA SCAN) for a crystal of ScCo4As relaxed with PBEsol.

extended XYZ file:
```
6
Lattice="0.000 3.335 3.335 3.335 0.000 3.335 3.335 3.335 0.000" Properties=species:S:1:pos:R:3 pbc="T T T"
Sc 0.000 0.000 0.000
Co 2.503 2.503 2.503
Co 4.167 4.167 2.503
Co 4.167 2.503 4.167
Co 2.503 4.167 4.167
As 5.003 5.003 5.003
```

Final energy, eV per atom: -17.3692
Volume, Å³ per cell: 74.2
DFT formation energy, meV/atom: -95
DOS(E_F), states/eV/atom: 0.977

=====

Density functional theory data (meta-GGA SCAN) for a crystal of ScCoAs relaxed with PBEsol.

extended XYZ file:
```
3
Lattice="3.986 0.000 0.000 -1.993 3.452 0.000 0.000 0.000 3.262" Properties=species:S:1:pos:R:3 pbc="T T T"
Sc 0.000 0.000 0.000
Co 1.993 1.151 1.631
As 0.000 2.301 1.631
```

Final energy, eV per atom: -18.0387
Volume, Å³ per cell: 44.9
DFT formation energy, meV/atom: -795
DOS(E_F), states/eV/atom: 0.618

=====

Density functional theory data (meta-GGA SCAN) for a crystal of ScCoAsSe2 relaxed with PBEsol.

extended XYZ file:
```
5
Lattice="4.796 0.000 0.000 0.000 4.796 0.000 0.000 0.000 4.240" Properties=species:S:1:pos:R:3 pbc="T T T"
Sc 0.000 0.000 0.000
Co 2.398 2.398 2.120
As 2.398 2.398 0.000
Se 0.000 2.398 2.120
Se 2.398 0.000 2.120
```

Final energy, eV per atom: -18.5609
Volume, Å³ per cell: 97.5
DOS(E_F), states/eV/atom: 0.579
ΔE_f (raw), eV per atom: -0.18

=====

Density functional theory data (meta-GGA SCAN) for a crystal of ScCoAs2Se relaxed with PBEsol.

extended XYZ file:
```
5
Lattice="4.387 0.000 0.000 0.000 4.387 0.000 0.000 0.000 5.002" Properties=species:S:1:pos:R:3 pbc="T T T"
Sc 0.000 0.000 0.000
Co 2.193 2.193 2.501
As 0.000 2.193 2.501
As 2.193 0.000 2.501
Se 2.193 2.193 0.000
```

Final energy, eV per atom: -18.4785
Volume, Å³ per cell: 96.3
DOS(E_F), states/eV/atom: 0.688
ΔE_f (raw), eV per atom: -0.08

=====

Density functional theory data (meta-GGA SCAN) for a crystal of ScCoAs2Se relaxed with PBEsol.

extended XYZ file:
```
5
Lattice="4.980 0.000 0.000 0.000 4.980 0.000 0.000 0.000 4.955" Properties=species:S:1:pos:R:3 pbc="T T T"
Sc 0.000 0.000 0.000
Co 2.490 2.490 2.477
As 0.000 2.490 0.000
As 2.490 0.000 0.000
Se 0.000 0.000 2.477
```

Final energy, eV per atom: -17.8314
Volume, Å³ per cell: 122.9
DOS(E_F), states/eV/atom: 0.836
ΔE_f (raw), eV per atom: 0.57

=====

Density functional theory data (meta-GGA SCAN) for a crystal of CoAsSe3 relaxed with PBEsol.

extended XYZ file:
```
5
Lattice="4.569 0.000 0.000 0.000 4.569 0.000 0.000 0.000 4.569" Properties=species:S:1:pos:R:3 pbc="T T T"
Co 0.000 0.000 0.000
As 2.285 2.285 2.285
Se 0.000 0.000 2.285
Se 0.000 2.285 0.000
Se 2.285 0.000 0.000
```

Final energy, eV per atom: -19.0283
Volume, Å³ per cell: 95.4
DOS(E_F), states/eV/atom: 0.655
ΔE_f (raw), eV per atom: 0.52

=====

Density functional theory data (meta-GGA SCAN) for a crystal of CoAsSe2 relaxed with PBEsol.

extended XYZ file:
```
4
Lattice="-1.530 2.103 5.399 1.530 -2.103 5.399 1.530 2.103 -5.399" Properties=species:S:1:pos:R:3 pbc="T T T"
Co 0.000 0.000 0.000
As 0.000 2.103 3.495
Se 1.530 0.000 1.829
Se 0.000 0.000 5.173
```

Final energy, eV per atom: -19.1811
Volume, Å³ per cell: 69.5
DOS(E_F), states/eV/atom: 0.659
ΔE_f (raw), eV per atom: 0.23

=====

Density functional theory data (meta-GGA SCAN) for a crystal of CoAsSe2 relaxed with PBEsol.

extended XYZ file:
```
8
Lattice="-2.842 2.842 5.342 2.842 -2.842 5.342 2.842 2.842 -5.342" Properties=species:S:1:pos:R:3 pbc="T T T"
Co 0.000 0.000 0.000
Co 0.000 2.842 2.671
As 2.842 0.000 2.671
As 0.000 0.000 5.342
Se 4.263 1.078 -1.335
Se 1.078 1.421 1.335
Se -1.421 1.764 4.006
Se 1.764 1.421 6.677
```

Final energy, eV per atom: -19.2032
Volume, Å³ per cell: 172.6
DOS(E_F), states/eV/atom: 0.688
ΔE_f (raw), eV per atom: 0.21